# GaGeB

A relaxed structure of GaGeB (PBE-GGA, Alexandria via LeMat-Bulk).

Geometry as POSCAR:
```
GaGeB
1.0
3.530 0.000 0.000
-1.765 3.057 0.000
0.000 0.000 4.494
Ga Ge B
1 1 1
Cartesian
0.000 0.000 0.000
1.765 1.019 1.932
0.000 0.000 2.345
```

Summary:
- relative energy among the computed polymorphs (eV/atom) = 0.1207
- Fermi-level density of states (states/eV/cell) = 0.443
- magnetization (Bohr magnetons per cell) = 0.00
- energy of formation from the pure elements (eV/atom) = 0.341

---

# GaGe3B

A relaxed structure of GaGe3B (PBE-GGA, Alexandria via LeMat-Bulk).

Geometry as POSCAR:
```
GaGe3B
1.0
4.442 0.000 0.000
0.000 4.442 0.000
0.000 0.000 4.442
Ga Ge B
1 3 1
Cartesian
0.000 0.000 0.000
0.000 2.221 2.221
2.221 0.000 2.221
2.221 2.221 0.000
2.221 2.221 2.221
```

Summary:
- relative energy among the computed polymorphs (eV/atom) = 0.0000
- Fermi-level density of states (states/eV/cell) = 2.026
- magnetization (Bohr magnetons per cell) = 0.00
- energy of formation from the pure elements (eV/atom) = 0.621

---

# GaGeB

A relaxed structure of GaGeB (PBE-GGA, Alexandria via LeMat-Bulk).

Geometry as POSCAR:
```
GaGeB
1.0
5.239 -1.511 0.000
5.239 1.511 0.000
-2.318 0.000 6.756
Ga Ge B
2 2 2
Cartesian
0.000 0.000 0.000
5.039 0.000 4.665
8.591 0.000 1.691
7.735 0.000 4.167
2.186 0.000 0.469
6.963 0.000 0.142
```

Summary:
- relative energy among the computed polymorphs (eV/atom) = 0.1184
- Fermi-level density of states (states/eV/cell) = 1.427
- magnetization (Bohr magnetons per cell) = 0.00
- energy of formation from the pure elements (eV/atom) = 0.339

---

# GaGeB

A relaxed structure of GaGeB (PBE-GGA, Alexandria via LeMat-Bulk).

Geometry as POSCAR:
```
GaGeB
1.0
3.091 0.000 0.000
-0.582 5.448 0.000
-0.364 -1.787 5.573
Ga Ge B
2 2 2
Cartesian
0.000 0.000 0.000
0.781 0.549 3.049
0.502 1.486 5.400
1.681 3.876 3.099
0.080 1.714 1.281
1.638 2.280 1.717
```

Summary:
- relative energy among the computed polymorphs (eV/atom) = 0.0308
- Fermi-level density of states (states/eV/cell) = 0.946
- magnetization (Bohr magnetons per cell) = 0.00
- energy of formation from the pure elements (eV/atom) = 0.251

---

# GaGeB

A relaxed structure of GaGeB (PBE-GGA, Alexandria via LeMat-Bulk).

Geometry as POSCAR:
```
GaGeB
1.0
4.464 0.000 0.000
0.000 3.560 0.000
-0.262 0.000 6.195
Ga Ge B
2 2 2
Cartesian
0.081 0.000 1.322
4.122 0.000 4.874
1.686 1.780 4.977
2.516 1.780 1.218
2.056 0.000 2.262
2.147 0.000 3.933
```

Summary:
- relative energy among the computed polymorphs (eV/atom) = 0.1083
- Fermi-level density of states (states/eV/cell) = 1.868
- magnetization (Bohr magnetons per cell) = 0.00
- energy of formation from the pure elements (eV/atom) = 0.329

---

# GaGeB2

A relaxed structure of GaGeB2 (PBE-GGA, Alexandria via LeMat-Bulk).

Geometry as POSCAR:
```
GaGeB2
1.0
0.000 2.914 2.914
2.914 0.000 2.914
2.914 2.914 0.000
Ga Ge B
1 1 2
Cartesian
0.000 0.000 0.000
2.914 2.914 2.914
1.457 1.457 1.457
4.371 4.371 4.371
```

Summary:
- relative energy among the computed polymorphs (eV/atom) = 0.5769
- Fermi-level density of states (states/eV/cell) = 1.430
- magnetization (Bohr magnetons per cell) = 0.00
- energy of formation from the pure elements (eV/atom) = 1.335

---

# GaGe3B

A relaxed structure of GaGe3B (PBE-GGA, Alexandria via LeMat-Bulk).

Geometry as POSCAR:
```
GaGe3B
1.0
4.891 0.000 0.000
0.000 4.891 0.000
0.000 0.000 4.891
Ga Ge B
1 3 1
Cartesian
0.000 0.000 0.000
0.000 0.000 2.446
0.000 2.446 0.000
2.446 0.000 0.000
2.446 2.446 2.446
```

Summary:
- relative energy among the computed polymorphs (eV/atom) = 0.8734
- Fermi-level density of states (states/eV/cell) = 4.271
- magnetization (Bohr magnetons per cell) = 0.00
- energy of formation from the pure elements (eV/atom) = 1.494

---

# GaGeB2

A relaxed structure of GaGeB2 (PBE-GGA, Alexandria via LeMat-Bulk).

Geometry as POSCAR:
```
GaGeB2
1.0
-2.509 2.509 4.664
2.509 -2.509 4.664
2.509 2.509 -4.664
Ga Ge B
2 2 4
Cartesian
0.000 0.000 0.000
0.000 2.509 2.332
2.509 0.000 2.332
0.000 0.000 4.664
1.254 -1.179 3.498
1.329 1.254 1.166
1.254 3.688 -1.166
1.179 1.254 5.829
```

Summary:
- relative energy among the computed polymorphs (eV/atom) = 0.0000
- Fermi-level density of states (states/eV/cell) = 4.391
- magnetization (Bohr magnetons per cell) = 0.00
- energy of formation from the pure elements (eV/atom) = 0.758

---

# GaGeB

A relaxed structure of GaGeB (PBE-GGA, Alexandria via LeMat-Bulk).

Geometry as POSCAR:
```
GaGeB
1.0
3.076 0.000 0.000
-0.588 5.410 0.000
-0.619 -1.860 5.606
Ga Ge B
2 2 2
Cartesian
-0.201 0.411 1.160
2.070 3.139 4.446
0.498 0.995 4.364
1.371 2.555 1.242
0.462 -0.671 3.046
1.407 4.222 2.560
```

Summary:
- relative energy among the computed polymorphs (eV/atom) = 0.0000
- Fermi-level density of states (states/eV/cell) = 0.608
- magnetization (Bohr magnetons per cell) = 0.00
- energy of formation from the pure elements (eV/atom) = 0.220

---

# GaGeB

A relaxed structure of GaGeB (PBE-GGA, Alexandria via LeMat-Bulk).

Geometry as POSCAR:
```
GaGeB
1.0
1.520 0.877 11.576
-1.520 0.877 11.576
0.000 -1.755 11.576
Ga Ge B
2 2 2
Cartesian
0.000 0.000 4.538
0.000 0.000 30.190
0.000 0.000 9.659
0.000 0.000 25.070
0.000 0.000 11.763
0.000 0.000 22.965
```

Summary:
- relative energy among the computed polymorphs (eV/atom) = 0.0842
- Fermi-level density of states (states/eV/cell) = 0.950
- magnetization (Bohr magnetons per cell) = 0.00
- energy of formation from the pure elements (eV/atom) = 0.304

---

# Ga2GeB

A relaxed structure of Ga2GeB (PBE-GGA, Alexandria via LeMat-Bulk).

Geometry as POSCAR:
```
Ga2GeB
1.0
0.000 3.172 3.172
3.172 0.000 3.172
3.172 3.172 0.000
Ga Ge B
2 1 1
Cartesian
1.586 1.586 1.586
4.757 4.757 4.757
0.000 0.000 0.000
3.172 3.172 3.172
```

Summary:
- relative energy among the computed polymorphs (eV/atom) = 0.4014
- Fermi-level density of states (states/eV/cell) = 1.727
- magnetization (Bohr magnetons per cell) = 0.00
- energy of formation from the pure elements (eV/atom) = 0.842

---

# GaGe2B

A relaxed structure of GaGe2B (PBE-GGA, Alexandria via LeMat-Bulk).

Geometry as POSCAR:
```
GaGe2B
1.0
0.000 3.177 3.177
3.177 0.000 3.177
3.177 3.177 0.000
Ga Ge B
1 2 1
Cartesian
0.000 0.000 0.000
1.588 1.588 1.588
4.765 4.765 4.765
3.177 3.177 3.177
```

Summary:
- relative energy among the computed polymorphs (eV/atom) = 0.5892
- Fermi-level density of states (states/eV/cell) = 1.638
- magnetization (Bohr magnetons per cell) = 0.00
- energy of formation from the pure elements (eV/atom) = 0.907